#one
This record from Alexandria via LeMat-Bulk describes an optimized crystal structure of HfPa2Te4. The functional is GGA-PBE.

a = 8.2645 Å, b = 8.2645 Å, c = 8.5676 Å
α = 104.50°, β = 104.50°, γ = 118.75°
Closest atoms and distances in Å follow each position.
Positions (direct):
Pa (0.9925, 0.9985, 0.4915)  6 Te 3.03-3.09
Te (0.0448, 0.3190, 0.3511)  1 Hf 2.92, 3 Pa 3.04-3.09
Te (0.0374, 0.2772, 0.8313)  2 Hf 3.02-3.09, 3 Pa 3.03-3.08
Pa (0.5070, 0.5010, 0.5085)  6 Te 3.03-3.09
Hf (0.4979, 0.4979, 0.0000)  6 Te 2.92-3.09
Te (0.5690, 0.7948, 0.8511)  1 Hf 2.92, 3 Pa 3.04-3.09
Te (0.9437, 0.7179, 0.1489)  1 Hf 2.92, 3 Pa 3.04-3.09
Te (0.5272, 0.7874, 0.3313)  2 Hf 3.02-3.09, 3 Pa 3.03-3.08
Pa (0.2485, 0.7425, 0.9915)  6 Te 3.03-3.09
Te (0.9679, 0.6937, 0.6489)  1 Hf 2.92, 3 Pa 3.04-3.09
Hf (0.7479, 0.2479, 0.5000)  6 Te 2.92-3.09
Pa (0.7510, 0.2570, 0.0085)  6 Te 3.03-3.09
Te (0.4561, 0.1959, 0.6687)  2 Hf 3.02-3.09, 3 Pa 3.03-3.08
Te (0.4459, 0.2061, 0.1687)  2 Hf 3.02-3.09, 3 Pa 3.03-3.08

=====

#two
This record from Alexandria via LeMat-Bulk describes an optimized crystal structure of HfPa2Te4. The functional is GGA-PBE.

a = 3.9956 Å, b = 7.0875 Å, c = 8.3733 Å
α = 113.96°, β = 103.80°, γ = 90.00°
Closest atoms and distances in Å follow each position.
Positions (direct):
Te (0.1111, 0.7751, 0.2223)  1 Hf 2.87, 3 Pa 3.09-3.11
Pa (0.7535, 0.7596, 0.5071)  6 Te 3.09-3.14
Te (0.3908, 0.7041, 0.7816)  2 Hf 2.90, 3 Pa 3.14
Te (0.8889, 0.2249, 0.7777)  1 Hf 2.87, 3 Pa 3.09-3.11
Pa (0.2465, 0.2404, 0.4929)  6 Te 3.09-3.14
Hf (0.0000, 0.0000, 0.0000)  6 Te 2.87-2.90
Te (0.6092, 0.2959, 0.2184)  2 Hf 2.90, 3 Pa 3.14

=====

What is the stability order? It is #two, #one, from most stable to least stable.

=====

#one
This record from Alexandria via LeMat-Bulk describes an optimized crystal structure of HfPa2Te. The functional is GGA-PBE.

a = 4.7775 Å, b = 4.4342 Å, c = 4.4342 Å
α = 90.00°, β = 90.00°, γ = 90.00°
Closest atoms and distances in Å follow each position.
Positions (direct):
Te (0.5000, 0.5000, 0.5000)  4 Hf 3.14, 8 Pa 3.26
Hf (0.5000, 0.0000, 0.0000)  4 Te 3.14, 8 Pa 3.26
Pa (0.0000, 0.0000, 0.5000)  4 Pa 3.14, 4 Hf 3.26, 4 Te 3.26
Pa (0.0000, 0.5000, 0.0000)  4 Pa 3.14, 4 Hf 3.26, 4 Te 3.26

=====

#two
This record from Alexandria via LeMat-Bulk describes an optimized crystal structure of HfPa2Te. The functional is GGA-PBE.

a = 4.0113 Å, b = 4.0113 Å, c = 6.2801 Å
α = 90.00°, β = 90.00°, γ = 90.00°
Closest atoms and distances in Å follow each position.
Positions (direct):
Te (0.5000, 0.5000, 0.0000)  2 Hf 3.14, 8 Pa 3.16
Pa (0.0000, 0.0000, 0.2201)  1 Pa 2.76
Pa (0.0000, 0.0000, 0.7799)  1 Pa 2.76
Hf (0.5000, 0.5000, 0.5000)  2 Te 3.14, 8 Pa 3.34

=====

What is the stability order? It is #one, #two, from most stable to least stable.

=====

#one
This record from Alexandria via LeMat-Bulk describes an optimized crystal structure of HfThPa2. The functional is GGA-PBE.

a = 4.8687 Å, b = 4.6356 Å, c = 4.6356 Å
α = 90.00°, β = 90.00°, γ = 90.00°
Closest atoms and distances in Å follow each position.
Positions (direct):
Pa (0.0000, 0.5000, 0.0000)  4 Pa 3.28, 4 Th 3.36, 4 Hf 3.36
Hf (0.5000, 0.0000, 0.0000)  4 Th 3.28, 8 Pa 3.36
Th (0.5000, 0.5000, 0.5000)  4 Hf 3.28, 8 Pa 3.36
Pa (0.0000, 0.0000, 0.5000)  4 Pa 3.28, 4 Th 3.36, 4 Hf 3.36

=====

#two
This record from Alexandria via LeMat-Bulk describes an optimized crystal structure of HfThPa2. The functional is GGA-PBE.

a = 5.2744 Å, b = 5.2744 Å, c = 5.2744 Å
α = 60.00°, β = 60.00°, γ = 60.00°
Closest atoms and distances in Å follow each position.
Positions (direct):
Pa (0.7500, 0.7500, 0.7500)  4 Th 3.23, 4 Hf 3.23
Pa (0.2500, 0.2500, 0.2500)  4 Th 3.23, 4 Hf 3.23
Hf (0.0000, 0.0000, 0.0000)  8 Pa 3.23
Th (0.5000, 0.5000, 0.5000)  8 Pa 3.23

=====

#three
This record from Alexandria via LeMat-Bulk describes an optimized crystal structure of HfThPa2. The functional is GGA-PBE.

a = 3.2835 Å, b = 3.2835 Å, c = 9.7025 Å
α = 90.00°, β = 90.00°, γ = 90.00°
Closest atoms and distances in Å follow each position.
Positions (direct):
Hf (0.5000, 0.5000, 0.0000)  4 Hf 3.28, 8 Pa 3.28
Pa (0.0000, 0.0000, 0.2394)  4 Pa 3.28, 4 Hf 3.28, 4 Th 3.43
Th (0.5000, 0.5000, 0.5000)  4 Th 3.28, 8 Pa 3.43
Pa (0.0000, 0.0000, 0.7606)  4 Pa 3.28, 4 Hf 3.28, 4 Th 3.43

=====

What is the stability order? It is #three, #one, #two, from most stable to least stable.

=====

#one
This record from Alexandria via LeMat-Bulk describes an optimized crystal structure of HfPaTi2. The functional is GGA-PBE.

a = 3.0714 Å, b = 3.0714 Å, c = 10.1761 Å
α = 81.34°, β = 81.34°, γ = 59.99°
Closest atoms and distances in Å follow each position.
Positions (direct):
Pa (0.5001, 0.5001, 0.4998)  6 Pa 3.07, 6 Ti 3.11
Ti (0.2516, 0.2516, 0.2449)  3 Hf 3.02-3.03, 6 Ti 3.07, 3 Pa 3.11
Ti (0.0818, 0.0818, 0.7550)  3 Hf 3.03, 6 Ti 3.07, 3 Pa 3.11
Hf (0.6664, 0.6664, 0.0003)  6 Ti 3.02-3.03, 6 Hf 3.07

=====

#two
This record from Alexandria via LeMat-Bulk describes an optimized crystal structure of HfPaTi2. The functional is GGA-PBE.

a = 4.8474 Å, b = 4.8474 Å, c = 4.8474 Å
α = 60.00°, β = 60.00°, γ = 60.00°
Closest atoms and distances in Å follow each position.
Positions (direct):
Hf (0.5000, 0.5000, 0.5000)  8 Ti 2.97
Ti (0.7500, 0.7500, 0.7500)  4 Pa 2.97, 4 Hf 2.97
Ti (0.2500, 0.2500, 0.2500)  4 Pa 2.97, 4 Hf 2.97
Pa (0.0000, 0.0000, 0.0000)  8 Ti 2.97

=====

What is the stability order? It is #two, #one, from most stable to least stable.

=====

#one
This record from Alexandria via LeMat-Bulk describes an optimized crystal structure of HfPaTi. The functional is GGA-PBE.

a = 3.0305 Å, b = 7.6613 Å, c = 5.6999 Å
α = 90.00°, β = 90.00°, γ = 90.00°
Closest atoms and distances in Å follow each position.
Positions (direct):
Pa (0.5000, 0.8022, 0.7500)  2 Pa 3.03, 6 Hf 3.11-3.24, 4 Ti 3.11
Ti (0.0000, 0.5000, 0.0000)  4 Ti 2.85-3.03, 2 Hf 2.99, 4 Pa 3.11
Ti (0.0000, 0.5000, 0.5000)  4 Ti 2.85-3.03, 2 Hf 2.99, 4 Pa 3.11
Pa (0.5000, 0.1978, 0.2500)  2 Pa 3.03, 6 Hf 3.11-3.24, 4 Ti 3.11
Hf (0.0000, 0.1562, 0.7500)  2 Ti 2.99, 2 Hf 3.03, 6 Pa 3.11-3.24
Hf (0.0000, 0.8438, 0.2500)  2 Ti 2.99, 2 Hf 3.03, 6 Pa 3.11-3.24

=====

#two
This record from Alexandria via LeMat-Bulk describes an optimized crystal structure of HfPaTi. The functional is GGA-PBE.

a = 3.0355 Å, b = 4.9224 Å, c = 4.9224 Å
α = 120.00°, β = 90.00°, γ = 90.00°
Closest atoms and distances in Å follow each position.
Positions (direct):
Pa (0.5005, 0.6667, 0.3333)  3 Ti 2.84, 2 Pa 3.04
Ti (0.4993, 0.3333, 0.6667)  3 Pa 2.84, 2 Ti 3.04
Hf (0.0002, 0.0000, 0.0000)  2 Hf 3.04, 6 Ti 3.22, 6 Pa 3.22

=====

What is the stability order? It is #two, #one, from most stable to least stable.

=====

#one
This record from Alexandria via LeMat-Bulk describes an optimized crystal structure of HfZrPaTi. The functional is GGA-PBE.

a = 3.1460 Å, b = 3.1445 Å, c = 10.7887 Å
α = 81.60°, β = 106.97°, γ = 119.98°
Closest atoms and distances in Å follow each position.
Positions (direct):
Ti (0.9309, 0.4246, 0.3702)  3 Hf 2.99, 3 Zr 3.04, 6 Ti 3.14-3.15
Pa (0.4231, 0.4232, 0.8651)  6 Pa 3.14-3.15, 3 Hf 3.27-3.28, 3 Zr 3.31-3.32
Hf (0.4952, 0.0913, 0.6005)  3 Ti 2.99, 6 Hf 3.14-3.15, 3 Pa 3.27-3.28
Zr (0.0287, 0.0916, 0.1338)  3 Ti 3.04, 6 Zr 3.14-3.15, 3 Pa 3.31-3.32

=====

#two
This record from Alexandria via LeMat-Bulk describes an optimized crystal structure of HfZrPaTi. The functional is GGA-PBE.

a = 4.9744 Å, b = 4.9744 Å, c = 4.9744 Å
α = 60.00°, β = 60.00°, γ = 60.00°
Closest atoms and distances in Å follow each position.
Positions (direct):
Zr (0.0000, 0.0000, 0.0000)  4 Hf 3.05, 4 Ti 3.05
Pa (0.5000, 0.5000, 0.5000)  4 Hf 3.05, 4 Ti 3.05
Ti (0.2500, 0.2500, 0.2500)  4 Zr 3.05, 4 Pa 3.05
Hf (0.7500, 0.7500, 0.7500)  4 Zr 3.05, 4 Pa 3.05

=====

What is the stability order? It is #one, #two, from most stable to least stable.